#A
A plane-wave DFT calculation with PBE-GGA was carried out for an optimized crystal structure of Al2BiH.

Calculated values
Calculated volume: 156.8 Å³/cell
SG: I-42d, No. 122

Structure (CIF):
```
data_Al2BiH
_symmetry_space_group_name_H-M 'P 1'
_symmetry_Int_Tables_number 1
_cell_length_a 5.1691
_cell_length_b 5.1691
_cell_length_c 6.9124
_cell_angle_alpha 68.04
_cell_angle_beta 68.04
_cell_angle_gamma 90.00
loop_
_symmetry_equiv_pos_as_xyz
'x,y,z'
loop_
_atom_site_label
_atom_site_type_symbol
_atom_site_fract_x
_atom_site_fract_y
_atom_site_fract_z
H1 H 0.5000 0.5000 0.0000
H2 H 0.2500 0.7500 0.5000
Bi1 Bi 0.0000 0.0000 0.0000
Bi2 Bi 0.7500 0.2500 0.5000
Al1 Al 0.4368 0.1250 0.2500
Al2 Al 0.3132 0.6250 0.2500
Al3 Al 0.3750 0.5632 0.7500
Al4 Al 0.8750 0.6868 0.7500
```

=====

#B
A plane-wave DFT calculation with PBE-GGA was carried out for an optimized crystal structure of Al2BiH.

Calculated values
Calculated volume: 80.1 Å³/cell
SG: Fm-3m, No. 225

Structure (CIF):
```
data_Al2BiH
_symmetry_space_group_name_H-M 'P 1'
_symmetry_Int_Tables_number 1
_cell_length_a 4.8391
_cell_length_b 4.8391
_cell_length_c 4.8391
_cell_angle_alpha 60.00
_cell_angle_beta 60.00
_cell_angle_gamma 60.00
loop_
_symmetry_equiv_pos_as_xyz
'x,y,z'
loop_
_atom_site_label
_atom_site_type_symbol
_atom_site_fract_x
_atom_site_fract_y
_atom_site_fract_z
H1 H 0.0000 0.0000 0.0000
Bi1 Bi 0.5000 0.5000 0.5000
Al1 Al 0.2500 0.2500 0.2500
Al2 Al 0.7500 0.7500 0.7500
```

=====

Stability ranking, top entry: #A; the second entry is 28.0 kJ/mol of atoms less favorable.